# 1
VASP calculation (PBE) on a geometry-optimized CdSbAu2 structure.

Cell and atoms, written as extended XYZ:
```
12
Lattice="3.943 0.000 0.000 -1.972 3.415 0.000 0.000 0.000 20.945" Properties=species:S:1:pos:R:3 pbc="T T T"
Cd 0.000 0.000 0.000
Cd 0.000 2.277 13.963
Cd 1.972 1.138 6.982
Sb 0.000 0.000 3.531
Sb 0.000 2.277 17.495
Sb 1.972 1.138 10.513
Au 0.000 0.000 8.757
Au 0.000 0.000 12.251
Au 0.000 2.277 1.776
Au 0.000 2.277 5.269
Au 1.972 1.138 15.739
Au 1.972 1.138 19.233
```

## Properties
Formation energy from raw total energies (kJ/mol of formula units): 11
Excess energy over the best structure of this formula in the dataset (meV per atom): 122
Space group: R3m, No. 160
Crystal system: trigonal

=====

# 2
VASP calculation (PBE) on a geometry-optimized Cd2SbAu2 structure.

Cell and atoms, written as extended XYZ:
```
10
Lattice="8.159 0.000 0.000 0.000 8.159 0.000 0.000 0.000 3.259" Properties=species:S:1:pos:R:3 pbc="T T T"
Cd 1.089 2.990 0.000
Cd 2.990 7.069 0.000
Cd 5.169 1.089 0.000
Cd 7.069 5.169 0.000
Sb 0.000 0.000 1.630
Sb 4.079 4.079 1.630
Au 1.348 5.428 1.630
Au 2.731 1.348 1.630
Au 5.428 6.810 1.630
Au 6.810 2.731 1.630
```

## Properties
Formation energy from raw total energies (kJ/mol of formula units): -39
Excess energy over the best structure of this formula in the dataset (meV per atom): 0
Space group: P4/mbm, No. 127
Crystal system: tetragonal

=====

# 3
VASP calculation (PBE) on a geometry-optimized CdSbAu2 structure.

Cell and atoms, written as extended XYZ:
```
4
Lattice="4.601 0.000 0.000 0.000 4.601 0.000 0.000 0.000 3.987" Properties=species:S:1:pos:R:3 pbc="T T T"
Cd 0.000 0.000 0.000
Sb 2.301 2.301 0.000
Au 0.000 2.301 1.994
Au 2.301 0.000 1.994
```

## Properties
Formation energy from raw total energies (kJ/mol of formula units): -3
Excess energy over the best structure of this formula in the dataset (meV per atom): 86
Space group: P4/mmm, No. 123
Crystal system: tetragonal

=====

# 4
VASP calculation (PBE) on a geometry-optimized Cd3SbAu3 structure.

Cell and atoms, written as extended XYZ:
```
14
Lattice="7.578 0.000 0.000 0.000 7.578 0.000 0.000 0.000 7.578" Properties=species:S:1:pos:R:3 pbc="T T T"
Cd 0.000 1.895 3.789
Cd 0.000 5.684 3.789
Cd 1.895 3.789 0.000
Cd 3.789 0.000 1.895
Cd 3.789 0.000 5.684
Cd 5.684 3.789 0.000
Sb 0.000 0.000 0.000
Sb 3.789 3.789 3.789
Au 0.000 3.789 1.895
Au 0.000 3.789 5.684
Au 1.895 0.000 3.789
Au 3.789 1.895 0.000
Au 3.789 5.684 0.000
Au 5.684 0.000 3.789
```

## Properties
Formation energy from raw total energies (kJ/mol of formula units): 309
Space group: Pm-3n, No. 223
Crystal system: cubic

=====

# 5
VASP calculation (PBE) on a geometry-optimized CdSbAu3 structure.

Cell and atoms, written as extended XYZ:
```
10
Lattice="4.504 0.000 0.000 0.000 7.332 0.000 -2.232 0.000 6.524" Properties=species:S:1:pos:R:3 pbc="T T T"
Cd 0.005 1.833 1.643
Cd 2.267 5.499 4.881
Sb 0.001 5.499 1.833
Sb 2.271 1.833 4.691
Au 0.015 3.814 4.211
Au 0.015 7.184 4.211
Au 0.022 1.833 6.432
Au 2.250 5.499 0.091
Au 2.257 0.148 2.312
Au 2.257 3.518 2.312
```

## Properties
Formation energy from raw total energies (kJ/mol of formula units): -29
Excess energy over the best structure of this formula in the dataset (meV per atom): 0
Space group: P2_1/m, No. 11
Crystal system: monoclinic

=====

# 6
VASP calculation (PBE) on a geometry-optimized Cd7SbAu5 structure.

Cell and atoms, written as extended XYZ:
```
13
Lattice="-2.841 4.953 4.944 2.841 -4.953 4.944 2.841 4.953 -4.944" Properties=species:S:1:pos:R:3 pbc="T T T"
Cd 0.000 0.000 0.000
Cd 2.841 1.614 1.239
Cd 0.000 0.000 3.072
Cd 0.000 3.130 1.153
Cd 0.000 6.777 1.153
Cd 0.000 4.953 3.565
Cd 0.000 3.339 6.183
Sb 0.000 0.000 6.661
Au 1.417 2.433 -1.270
Au 4.265 2.433 -1.270
Au 2.841 0.000 3.754
Au -1.424 2.521 3.674
Au 1.424 2.521 3.674
```

## Properties
Formation energy from raw total energies (kJ/mol of formula units): -123
Space group: Imm2, No. 44
Crystal system: orthorhombic

=====

# 7
VASP calculation (PBE) on a geometry-optimized CdSb2Au structure.

Cell and atoms, written as extended XYZ:
```
4
Lattice="4.983 0.000 0.000 0.000 4.143 0.000 -1.548 0.000 5.211" Properties=species:S:1:pos:R:3 pbc="T T T"
Cd 0.000 0.000 0.000
Sb 0.188 2.072 3.666
Sb 3.247 2.072 1.545
Au 1.718 0.000 2.606
```

## Properties
Formation energy from raw total energies (kJ/mol of formula units): -13
Space group: P2/m, No. 10
Crystal system: monoclinic

=====

# 8
VASP calculation (PBE) on a geometry-optimized CdSb2Au structure.

Cell and atoms, written as extended XYZ:
```
8
Lattice="6.703 0.000 0.000 0.000 8.661 0.000 0.000 0.000 3.302" Properties=species:S:1:pos:R:3 pbc="T T T"
Cd 0.000 0.000 0.000
Cd 3.351 4.331 0.000
Sb 1.676 2.165 1.651
Sb 1.676 6.496 1.651
Sb 5.027 2.165 1.651
Sb 5.027 6.496 1.651
Au 0.000 4.331 0.000
Au 3.351 0.000 0.000
```

## Properties
Formation energy from raw total energies (kJ/mol of formula units): 59
Space group: Cmmm, No. 65
Crystal system: orthorhombic

=====

# 9
VASP calculation (PBE) on a geometry-optimized Cd12SbAu6 structure.

Cell and atoms, written as extended XYZ:
```
19
Lattice="6.556 3.785 2.915 -6.556 3.785 2.915 0.000 -7.571 2.915" Properties=species:S:1:pos:R:3 pbc="T T T"
Cd -2.499 -3.242 2.915
Cd -4.057 -0.544 2.915
Cd 0.000 -1.902 2.031
Cd -1.647 0.951 2.031
Cd 2.499 -3.242 2.915
Cd -1.558 3.785 2.915
Cd 1.647 0.951 2.031
Cd -1.647 -0.951 6.714
Cd 4.057 -0.544 2.915
Cd 1.558 3.785 2.915
Cd 1.647 -0.951 6.714
Cd 0.000 1.902 6.714
Sb 0.000 0.000 4.372
Au -4.024 -2.323 5.185
Au 0.000 -4.646 3.560
Au -4.024 2.323 3.560
Au 4.024 -2.323 5.185
Au 0.000 4.646 5.185
Au 4.024 2.323 3.560
```

## Properties
Formation energy from raw total energies (kJ/mol of formula units): -147
Space group: R-3m, No. 166
Crystal system: trigonal

=====

# 10
VASP calculation (PBE) on a geometry-optimized CdSb2Au structure.

Cell and atoms, written as extended XYZ:
```
12
Lattice="4.367 0.000 0.000 -2.184 3.782 0.000 0.000 0.000 19.199" Properties=species:S:1:pos:R:3 pbc="T T T"
Cd 0.000 0.000 0.000
Cd 0.000 2.521 12.799
Cd 2.184 1.261 6.400
Sb 0.000 0.000 10.978
Sb 0.000 0.000 14.674
Sb 0.000 2.521 4.578
Sb 0.000 2.521 8.274
Sb 2.184 1.261 1.874
Sb 2.184 1.261 17.377
Au 0.000 0.000 3.154
Au 0.000 2.521 15.954
Au 2.184 1.261 9.554
```

## Properties
Formation energy from raw total energies (kJ/mol of formula units): 10
Space group: R3m, No. 160
Crystal system: trigonal

=====

# 11
VASP calculation (PBE) on a geometry-optimized CdSbAu2 structure.

Cell and atoms, written as extended XYZ:
```
16
Lattice="4.509 0.000 0.000 0.000 4.509 0.000 0.000 0.000 18.325" Properties=species:S:1:pos:R:3 pbc="T T T"
Cd 0.000 0.000 0.000
Cd 0.000 2.254 4.581
Cd 2.254 0.000 13.743
Cd 2.254 2.254 9.162
Sb 0.000 0.000 9.162
Sb 0.000 2.254 13.743
Sb 2.254 0.000 4.581
Sb 2.254 2.254 0.000
Au 1.091 1.127 11.453
Au 1.127 3.346 16.034
Au 1.127 3.418 6.872
Au 1.163 1.127 2.291
Au 3.346 3.382 2.291
Au 3.382 1.091 6.872
Au 3.382 1.163 16.034
Au 3.418 3.382 11.453
```

## Properties
Formation energy from raw total energies (kJ/mol of formula units): 2
Excess energy over the best structure of this formula in the dataset (meV per atom): 98
Space group: I-42d, No. 122
Crystal system: tetragonal

=====

# 12
VASP calculation (PBE) on a geometry-optimized CdSb2Au structure.

Cell and atoms, written as extended XYZ:
```
4
Lattice="4.147 0.000 0.000 0.000 4.442 0.000 0.000 0.000 5.267" Properties=species:S:1:pos:R:3 pbc="T T T"
Cd 0.000 0.000 0.000
Sb 0.000 2.221 2.634
Sb 2.073 2.221 0.000
Au 2.073 0.000 2.634
```

## Properties
Formation energy from raw total energies (kJ/mol of formula units): 54
Space group: Pmmm, No. 47
Crystal system: orthorhombic

=====

# 13
VASP calculation (PBE) on a geometry-optimized CdSb2Au structure.

Cell and atoms, written as extended XYZ:
```
4
Lattice="3.305 0.000 0.000 0.000 4.121 0.000 0.000 0.000 7.180" Properties=species:S:1:pos:R:3 pbc="T T T"
Cd 0.000 0.000 0.000
Sb 0.000 0.000 4.131
Sb 1.652 2.060 1.608
Au 1.652 2.060 5.562
```

## Properties
Formation energy from raw total energies (kJ/mol of formula units): 39
Space group: Pmm2, No. 25
Crystal system: orthorhombic

=====

# 14
VASP calculation (PBE) on a geometry-optimized CdSbAu2 structure.

Cell and atoms, written as extended XYZ:
```
4
Lattice="3.201 0.000 0.000 0.000 3.201 0.000 0.000 0.000 8.408" Properties=species:S:1:pos:R:3 pbc="T T T"
Cd 0.000 0.000 0.000
Sb 1.600 1.600 2.604
Au 0.000 0.000 4.661
Au 1.600 1.600 6.569
```

## Properties
Formation energy from raw total energies (kJ/mol of formula units): 19
Excess energy over the best structure of this formula in the dataset (meV per atom): 141
Space group: P4mm, No. 99
Crystal system: tetragonal

=====

# 15
VASP calculation (PBE) on a geometry-optimized CdSb2Au structure.

Cell and atoms, written as extended XYZ:
```
8
Lattice="7.197 0.000 0.000 0.000 4.155 0.000 -2.435 0.000 6.927" Properties=species:S:1:pos:R:3 pbc="T T T"
Cd 0.000 0.000 0.000
Cd 3.598 2.077 0.000
Sb -0.024 0.000 4.954
Sb 1.187 2.077 1.973
Sb 3.574 2.077 4.954
Sb 4.785 0.000 1.973
Au -1.218 2.077 3.464
Au 2.381 0.000 3.464
```

## Properties
Formation energy from raw total energies (kJ/mol of formula units): 1
Space group: C2/m, No. 12
Crystal system: monoclinic

=====

# 16
VASP calculation (PBE) on a geometry-optimized CdSbAu2 structure.

Cell and atoms, written as extended XYZ:
```
16
Lattice="6.982 0.000 0.000 0.000 6.982 0.000 0.000 0.000 6.982" Properties=species:S:1:pos:R:3 pbc="T T T"
Cd 0.000 0.000 0.000
Cd 0.000 3.491 3.491
Cd 3.491 0.000 3.491
Cd 3.491 3.491 0.000
Sb 0.000 0.000 3.491
Sb 0.000 3.491 0.000
Sb 3.491 0.000 0.000
Sb 3.491 3.491 3.491
Au 1.745 1.745 1.745
Au 1.745 1.745 5.236
Au 1.745 5.236 1.745
Au 1.745 5.236 5.236
Au 5.236 1.745 1.745
Au 5.236 1.745 5.236
Au 5.236 5.236 1.745
Au 5.236 5.236 5.236
```

## Properties
Formation energy from raw total energies (kJ/mol of formula units): 22
Excess energy over the best structure of this formula in the dataset (meV per atom): 149
Space group: Fm-3m, No. 225
Crystal system: cubic

=====

# 17
VASP calculation (PBE) on a geometry-optimized CdSbAu3 structure.

Cell and atoms, written as extended XYZ:
```
5
Lattice="5.265 0.000 0.000 0.000 5.265 0.000 0.000 0.000 5.265" Properties=species:S:1:pos:R:3 pbc="T T T"
Cd 0.000 0.000 0.000
Sb 2.632 2.632 2.632
Au 0.000 2.632 2.632
Au 2.632 0.000 2.632
Au 2.632 2.632 0.000
```

## Properties
Formation energy from raw total energies (kJ/mol of formula units): 165
Excess energy over the best structure of this formula in the dataset (meV per atom): 403
Space group: Pm-3m, No. 221
Crystal system: cubic

=====

# 18
VASP calculation (PBE) on a geometry-optimized Cd3Sb5Au12 structure.

Cell and atoms, written as extended XYZ:
```
80
Lattice="-8.009 8.009 8.009 8.009 -8.009 8.009 8.009 8.009 -8.009" Properties=species:S:1:pos:R:3 pbc="T T T"
Cd 4.004 2.002 0.000
Cd 8.009 4.004 -2.002
Cd 2.002 0.000 4.004
Cd 10.011 0.000 4.004
Cd 0.000 4.004 2.002
Cd 4.004 -2.002 8.009
Cd 4.004 10.011 0.000
Cd 8.009 4.004 6.006
Cd -2.002 8.009 4.004
Cd 6.006 8.009 4.004
Cd 0.000 4.004 10.011
Cd 4.004 6.006 8.009
Sb 0.000 0.000 0.000
Sb 4.004 4.004 -4.004
Sb 4.004 -4.004 4.004
Sb 8.009 0.000 0.000
Sb 12.013 2.002 0.000
Sb 8.009 -4.004 6.006
Sb 6.006 8.009 -4.004
Sb 6.006 0.000 4.004
Sb 4.004 6.006 0.000
Sb 8.009 4.004 2.002
Sb -4.004 4.004 4.004
Sb 0.000 8.009 0.000
Sb 0.000 0.000 8.009
Sb 4.004 4.004 4.004
Sb 0.000 4.004 6.006
Sb 4.004 2.002 8.009
Sb 2.002 8.009 4.004
Sb 2.002 0.000 12.013
Sb 0.000 12.013 2.002
Sb -4.004 6.006 8.009
Au 2.476 -0.129 1.184
Au 9.537 5.188 -4.133
Au 7.880 -1.184 2.476
Au 12.141 -1.528 2.820
Au 10.485 0.129 1.184
Au 9.537 -2.820 4.133
Au 1.184 2.476 -0.129
Au 10.829 3.876 -1.528
Au 5.188 4.133 -1.528
Au 6.824 2.476 0.129
Au -0.129 1.184 2.476
Au 4.133 -1.528 5.188
Au 7.880 6.824 -2.476
Au 4.133 1.528 2.820
Au 6.824 -2.476 7.880
Au 5.188 -4.133 9.537
Au 2.820 4.133 1.528
Au 9.193 5.532 0.129
Au 2.476 7.880 -1.184
Au 9.537 2.820 3.876
Au 4.133 9.537 -2.820
Au 7.880 1.184 5.532
Au 1.528 2.820 4.133
Au 2.476 0.129 6.824
Au 5.532 7.880 1.184
Au 6.480 5.188 3.876
Au 0.129 6.824 2.476
Au 3.876 -1.528 10.829
Au -1.528 5.188 4.133
Au 5.532 0.129 9.193
Au -1.184 2.476 7.880
Au 5.188 3.876 6.480
Au 2.820 12.141 -1.528
Au 1.184 10.485 0.129
Au 3.876 6.480 5.188
Au 0.129 1.184 10.485
Au 3.876 9.537 2.820
Au 8.137 6.824 5.532
Au 1.184 5.532 7.880
Au 2.820 3.876 9.537
Au -2.820 4.133 9.537
Au 6.824 5.532 8.137
Au -1.528 10.829 3.876
Au -2.476 7.880 6.824
Au -4.133 9.537 5.188
Au 0.129 9.193 5.532
Au -1.528 2.820 12.141
Au 5.532 8.137 6.824
```

## Properties
Formation energy from raw total energies (kJ/mol of formula units): 99
Space group: Ia-3d, No. 230
Crystal system: cubic

=====

# 19
VASP calculation (PBE) on a geometry-optimized CdSbAu2 structure.

Cell and atoms, written as extended XYZ:
```
8
Lattice="4.435 0.000 0.000 0.000 4.435 0.000 0.000 0.000 8.530" Properties=species:S:1:pos:R:3 pbc="T T T"
Cd 0.000 0.000 0.000
Cd 2.218 2.218 4.265
Sb 0.000 0.000 4.265
Sb 2.218 2.218 0.000
Au 0.000 2.218 2.132
Au 0.000 2.218 6.397
Au 2.218 0.000 2.132
Au 2.218 0.000 6.397
```

## Properties
Formation energy from raw total energies (kJ/mol of formula units): 8
Excess energy over the best structure of this formula in the dataset (meV per atom): 112
Space group: I4/mmm, No. 139
Crystal system: tetragonal

=====

# 20
VASP calculation (PBE) on a geometry-optimized Cd4Sb2Au structure.

Cell and atoms, written as extended XYZ:
```
14
Lattice="3.052 0.000 0.000 0.161 10.588 0.000 1.448 0.045 10.760" Properties=species:S:1:pos:R:3 pbc="T T T"
Cd 0.000 0.000 0.000
Cd 1.452 3.428 9.740
Cd 1.572 9.532 7.577
Cd 1.470 2.487 6.400
Cd 3.072 7.780 5.631
Cd 3.017 4.221 4.445
Cd 3.035 8.706 2.295
Cd 3.035 5.300 1.281
Sb 1.488 7.532 9.979
Sb 1.493 5.643 7.619
Sb 2.992 0.335 4.426
Sb 2.991 2.215 2.045
Au 1.515 6.514 3.486
Au 2.969 1.232 8.549
```

## Properties
Formation energy from raw total energies (kJ/mol of formula units): -9
Space group: P1, No. 1
Crystal system: triclinic